A relaxed structure of ReSi2BiAs. Source: Alexandria via LeMat-Bulk, functional PBE-GGA.

Cell lengths 5.302, 5.302, 5.221 Å; angles 90.00, 90.00, 90.00 degrees
Space group P4/mmm (No. 123)
Symmetry-distinct sites (fractional):
Re  0.000  0.000  0.000 x1
Si  0.000  0.500  0.500 x2
Bi  0.000  0.000  0.500 x1
As  0.500  0.500  0.000 x1

Results
ΔE_f (raw) ... 2.249 eV per atom